w.
# LiAl6Ga2 PBE-GGA optimized geometry
# Total magnetization   0.000 μB/cell
# DOS(E_F)   6.0 states/eV per cell
data_LiAl6Ga2
_space_group_name_H-M_alt 'C 1 2/m 1'
_space_group_IT_number 12
_cell_length_a 7.504
_cell_length_b 14.312
_cell_length_c 2.892
_cell_angle_alpha 90.00
_cell_angle_beta 98.63
_cell_angle_gamma 90.00
loop_
_space_group_symop_operation_xyz
'x,y,z'
'-x,-y,-z'
'-x,y,-z'
'x,-y,z'
'x+1/2,y+1/2,z'
'-x+1/2,-y+1/2,-z'
'-x+1/2,y+1/2,-z'
'x+1/2,-y+1/2,z'
loop_
_atom_site_label
_atom_site_type_symbol
_atom_site_fract_x
_atom_site_fract_y
_atom_site_fract_z
_atom_site_occupancy
Li1 Li 0.000 0.000 0.000 1
Al1 Al 0.164 0.331 0.809 1
Al2 Al 0.165 0.500 0.326 1
Ga1 Ga 0.000 0.160 0.500 1


x.
# LiAl6Ga2 PBE-GGA optimized geometry
# Total magnetization   0.000 μB/cell
# DOS(E_F)   5.6 states/eV per cell
data_LiAl6Ga2
_space_group_name_H-M_alt 'C 1 2/m 1'
_space_group_IT_number 12
_cell_length_a 12.204
_cell_length_b 4.114
_cell_length_c 6.373
_cell_angle_alpha 90.00
_cell_angle_beta 110.56
_cell_angle_gamma 90.00
loop_
_space_group_symop_operation_xyz
'x,y,z'
'-x,-y,-z'
'-x,y,-z'
'x,-y,z'
'x+1/2,y+1/2,z'
'-x+1/2,-y+1/2,-z'
'-x+1/2,y+1/2,-z'
'x+1/2,-y+1/2,z'
loop_
_atom_site_label
_atom_site_type_symbol
_atom_site_fract_x
_atom_site_fract_y
_atom_site_fract_z
_atom_site_occupancy
Li1 Li 0.000 0.000 0.000 1
Al1 Al 0.111 0.000 0.662 1
Al2 Al 0.169 0.500 0.001 1
Al3 Al 0.224 0.000 0.329 1
Ga1 Ga 0.056 0.500 0.320 1


x (53 meV per atom below the next structure)


w.
# LiAl3Ga2 PBE-GGA optimized geometry
# Total magnetization   0.000 μB/cell
# DOS(E_F)   3.6 states/eV per cell
data_LiAl3Ga2
_space_group_name_H-M_alt 'P 1 21/m 1'
_space_group_IT_number 11
_cell_length_a 5.724
_cell_length_b 4.267
_cell_length_c 8.390
_cell_angle_alpha 90.00
_cell_angle_beta 96.52
_cell_angle_gamma 90.00
loop_
_space_group_symop_operation_xyz
'x,y,z'
'-x,-y,-z'
'-x,y+1/2,-z'
'x,-y+1/2,z'
loop_
_atom_site_label
_atom_site_type_symbol
_atom_site_fract_x
_atom_site_fract_y
_atom_site_fract_z
_atom_site_occupancy
Li1 Li 0.053 0.250 0.239 1
Al1 Al 0.227 0.250 0.912 1
Al2 Al 0.357 0.750 0.432 1
Al3 Al 0.452 0.750 0.770 1
Ga1 Ga 0.147 0.250 0.583 1
Ga2 Ga 0.273 0.750 0.103 1


x.
# LiAl3Ga2 PBE-GGA optimized geometry
# Total magnetization   0.000 μB/cell
# DOS(E_F)   9.5 states/eV per cell
data_LiAl3Ga2
_space_group_name_H-M_alt 'C 1 2/m 1'
_space_group_IT_number 12
_cell_length_a 15.454
_cell_length_b 4.033
_cell_length_c 7.609
_cell_angle_alpha 90.00
_cell_angle_beta 114.53
_cell_angle_gamma 90.00
loop_
_space_group_symop_operation_xyz
'x,y,z'
'-x,-y,-z'
'-x,y,-z'
'x,-y,z'
'x+1/2,y+1/2,z'
'-x+1/2,-y+1/2,-z'
'-x+1/2,y+1/2,-z'
'x+1/2,-y+1/2,z'
loop_
_atom_site_label
_atom_site_type_symbol
_atom_site_fract_x
_atom_site_fract_y
_atom_site_fract_z
_atom_site_occupancy
Li1 Li 0.113 0.000 0.068 1
Al1 Al 0.066 0.000 0.424 1
Al2 Al 0.122 0.500 0.711 1
Al3 Al 0.194 0.500 0.407 1
Ga1 Ga 0.012 0.500 0.172 1
Ga2 Ga 0.250 0.000 0.884 1


w (35 meV per atom below the next structure)


w.
# Li3AlGa3 PBE-GGA optimized geometry
# Total magnetization   0.000 μB/cell
# DOS(E_F)   6.6 states/eV per cell
data_Li3AlGa3
_space_group_name_H-M_alt 'P n m a'
_space_group_IT_number 62
_cell_length_a 12.758
_cell_length_b 4.372
_cell_length_c 8.364
_cell_angle_alpha 90.00
_cell_angle_beta 90.00
_cell_angle_gamma 90.00
loop_
_space_group_symop_operation_xyz
'x,y,z'
'-x,-y,-z'
'-x+1/2,-y,z+1/2'
'x+1/2,y,-z+1/2'
'x+1/2,-y+1/2,-z+1/2'
'-x+1/2,y+1/2,z+1/2'
'-x,y+1/2,-z'
'x,-y+1/2,z'
loop_
_atom_site_label
_atom_site_type_symbol
_atom_site_fract_x
_atom_site_fract_y
_atom_site_fract_z
_atom_site_occupancy
Li1 Li 0.059 0.250 0.005 1
Li2 Li 0.177 0.250 0.723 1
Li3 Li 0.183 0.250 0.279 1
Al1 Al 0.055 0.750 0.277 1
Ga1 Ga 0.059 0.750 0.729 1
Ga2 Ga 0.172 0.750 0.005 1
Ga3 Ga 0.200 0.750 0.501 1


x.
# Li3AlGa3 PBE-GGA optimized geometry
# Total magnetization   0.000 μB/cell
# DOS(E_F)   8.5 states/eV per cell
data_Li3AlGa3
_space_group_name_H-M_alt 'C 1 2/m 1'
_space_group_IT_number 12
_cell_length_a 8.360
_cell_length_b 8.874
_cell_length_c 6.936
_cell_angle_alpha 90.00
_cell_angle_beta 97.70
_cell_angle_gamma 90.00
loop_
_space_group_symop_operation_xyz
'x,y,z'
'-x,-y,-z'
'-x,y,-z'
'x,-y,z'
'x+1/2,y+1/2,z'
'-x+1/2,-y+1/2,-z'
'-x+1/2,y+1/2,-z'
'x+1/2,-y+1/2,z'
loop_
_atom_site_label
_atom_site_type_symbol
_atom_site_fract_x
_atom_site_fract_y
_atom_site_fract_z
_atom_site_occupancy
Li1 Li 0.000 0.148 0.000 1
Li2 Li 0.000 0.266 0.500 1
Li3 Li 0.048 0.500 0.212 1
Al1 Al 0.237 0.000 0.370 1
Ga1 Ga 0.096 0.000 0.687 1
Ga2 Ga 0.227 0.252 0.814 1


w (117 meV per atom below the next structure)


w.
# LiAlGa3 PBE-GGA optimized geometry
# Total magnetization   0.000 μB/cell
# DOS(E_F)   1.5 states/eV per cell
data_LiAlGa3
_space_group_name_H-M_alt 'P m -3 m'
_space_group_IT_number 221
_space_group_name_Hall '-P 4 2 3'
_cell_length_a 4.983
_cell_length_b 4.983
_cell_length_c 4.983
_cell_angle_alpha 90.00
_cell_angle_beta 90.00
_cell_angle_gamma 90.00
loop_
_atom_site_label
_atom_site_type_symbol
_atom_site_fract_x
_atom_site_fract_y
_atom_site_fract_z
_atom_site_occupancy
Li1 Li 0.000 0.000 0.000 1
Al1 Al 0.500 0.500 0.500 1
Ga1 Ga 0.000 0.500 0.500 1


x.
# LiAlGa3 PBE-GGA optimized geometry
# Total magnetization   0.000 μB/cell
# DOS(E_F)   3.1 states/eV per cell
data_LiAlGa3
_space_group_name_H-M_alt 'P m m n'
_space_group_IT_number 59
_cell_length_a 4.485
_cell_length_b 6.323
_cell_length_c 6.520
_cell_angle_alpha 90.00
_cell_angle_beta 90.00
_cell_angle_gamma 90.00
loop_
_space_group_symop_operation_xyz
'x,y,z'
'-x,-y,-z'
'-x+1/2,-y+1/2,z'
'x+1/2,y+1/2,-z'
'x+1/2,-y,-z'
'-x+1/2,y,z'
'-x,y+1/2,-z'
'x,-y+1/2,z'
loop_
_atom_site_label
_atom_site_type_symbol
_atom_site_fract_x
_atom_site_fract_y
_atom_site_fract_z
_atom_site_occupancy
Li1 Li 0.250 0.250 0.233 1
Al1 Al 0.250 0.750 0.068 1
Ga1 Ga 0.250 0.041 0.768 1
Ga2 Ga 0.250 0.750 0.470 1


y.
# LiAlGa3 PBE-GGA optimized geometry
# Total magnetization   0.000 μB/cell
# DOS(E_F)   1.8 states/eV per cell
data_LiAlGa3
_space_group_name_H-M_alt 'P m -3 m'
_space_group_IT_number 221
_space_group_name_Hall '-P 4 2 3'
_cell_length_a 4.624
_cell_length_b 4.624
_cell_length_c 4.624
_cell_angle_alpha 90.00
_cell_angle_beta 90.00
_cell_angle_gamma 90.00
loop_
_atom_site_label
_atom_site_type_symbol
_atom_site_fract_x
_atom_site_fract_y
_atom_site_fract_z
_atom_site_occupancy
Li1 Li 0.000 0.000 0.000 1
Al1 Al 0.500 0.500 0.500 1
Ga1 Ga 0.000 0.000 0.500 1


x (313 meV per atom below the next structure)


w.
# Li4AlGa PBE-GGA optimized geometry
# Total magnetization   0.000 μB/cell
# DOS(E_F)   2.8 states/eV per cell
data_Li4AlGa
_space_group_name_H-M_alt 'P 1 21/m 1'
_space_group_IT_number 11
_cell_length_a 5.286
_cell_length_b 4.525
_cell_length_c 8.202
_cell_angle_alpha 90.00
_cell_angle_beta 108.71
_cell_angle_gamma 90.00
loop_
_space_group_symop_operation_xyz
'x,y,z'
'-x,-y,-z'
'-x,y+1/2,-z'
'x,-y+1/2,z'
loop_
_atom_site_label
_atom_site_type_symbol
_atom_site_fract_x
_atom_site_fract_y
_atom_site_fract_z
_atom_site_occupancy
Li1 Li 0.041 0.250 0.084 1
Li2 Li 0.205 0.250 0.416 1
Li3 Li 0.288 0.750 0.584 1
Li4 Li 0.457 0.750 0.916 1
Al1 Al 0.376 0.750 0.252 1
Ga1 Ga 0.125 0.250 0.752 1


x.
# Li4AlGa PBE-GGA optimized geometry
# Total magnetization   0.924 μB/cell
# DOS(E_F)   8.5 states/eV per cell
data_Li4AlGa
_space_group_name_H-M_alt 'F -4 3 m'
_space_group_IT_number 216
_space_group_name_Hall 'F -4 2 3'
_cell_length_a 7.289
_cell_length_b 7.289
_cell_length_c 7.289
_cell_angle_alpha 90.00
_cell_angle_beta 90.00
_cell_angle_gamma 90.00
loop_
_atom_site_label
_atom_site_type_symbol
_atom_site_fract_x
_atom_site_fract_y
_atom_site_fract_z
_atom_site_occupancy
Li1 Li 0.125 0.125 0.125 1
Al1 Al 0.250 0.250 0.750 1
Ga1 Ga 0.000 0.000 0.500 1


y.
# Li4AlGa PBE-GGA optimized geometry
# Total magnetization   0.000 μB/cell
# DOS(E_F)   4.0 states/eV per cell
data_Li4AlGa
_space_group_name_H-M_alt 'C 1 m 1'
_space_group_IT_number 8
_cell_length_a 14.180
_cell_length_b 5.035
_cell_length_c 2.777
_cell_angle_alpha 90.00
_cell_angle_beta 101.21
_cell_angle_gamma 90.00
loop_
_space_group_symop_operation_xyz
'x,y,z'
'x,-y,z'
'x+1/2,y+1/2,z'
'x+1/2,-y+1/2,z'
loop_
_atom_site_label
_atom_site_type_symbol
_atom_site_fract_x
_atom_site_fract_y
_atom_site_fract_z
_atom_site_occupancy
Li1 Li 0.000 0.000 0.000 1
Li2 Li 0.164 0.000 0.664 1
Li3 Li 0.333 0.250 0.834 1
Al1 Al 0.498 0.000 0.497 1
Ga1 Ga 0.175 0.500 0.176 1


w (133 meV per atom below the next structure)


w.
# Li2Al3Ga4 PBE-GGA optimized geometry
# Total magnetization   0.000 μB/cell
# DOS(E_F)   9.7 states/eV per cell
data_Li2Al3Ga4
_space_group_name_H-M_alt 'C 1 2/c 1'
_space_group_IT_number 15
_cell_length_a 13.531
_cell_length_b 9.597
_cell_length_c 5.039
_cell_angle_alpha 90.00
_cell_angle_beta 101.96
_cell_angle_gamma 90.00
loop_
_space_group_symop_operation_xyz
'x,y,z'
'-x,-y,-z'
'-x,y,-z+1/2'
'x,-y,z+1/2'
'x+1/2,y+1/2,z'
'-x+1/2,-y+1/2,-z'
'-x+1/2,y+1/2,-z+1/2'
'x+1/2,-y+1/2,z+1/2'
loop_
_atom_site_label
_atom_site_type_symbol
_atom_site_fract_x
_atom_site_fract_y
_atom_site_fract_z
_atom_site_occupancy
Li1 Li 0.237 0.096 0.093 1
Al1 Al 0.000 0.002 0.250 1
Al2 Al 0.092 0.439 0.468 1
Ga1 Ga 0.069 0.258 0.010 1
Ga2 Ga 0.155 0.174 0.558 1


x.
# Li2Al3Ga4 PBE-GGA optimized geometry
# Total magnetization   0.000 μB/cell
# DOS(E_F)   2.7 states/eV per cell
data_Li2Al3Ga4
_space_group_name_H-M_alt 'P -1'
_space_group_IT_number 2
_cell_length_a 4.082
_cell_length_b 4.773
_cell_length_c 8.851
_cell_angle_alpha 105.01
_cell_angle_beta 90.80
_cell_angle_gamma 114.65
loop_
_space_group_symop_operation_xyz
'x,y,z'
'-x,-y,-z'
loop_
_atom_site_label
_atom_site_type_symbol
_atom_site_fract_x
_atom_site_fract_y
_atom_site_fract_z
_atom_site_occupancy
Li1 Li 0.163 0.328 0.219 1
Al1 Al 0.168 0.334 0.560 1
Al2 Al 0.500 0.000 0.000 1
Ga1 Ga 0.166 0.334 0.890 1
Ga2 Ga 0.500 0.002 0.330 1


x (55 meV per atom below the next structure)


w.
# Li6AlGa2 PBE-GGA optimized geometry
# Total magnetization   0.000 μB/cell
# DOS(E_F)   4.4 states/eV per cell
data_Li6AlGa2
_space_group_name_H-M_alt 'P n n m'
_space_group_IT_number 58
_cell_length_a 8.184
_cell_length_b 8.226
_cell_length_c 4.267
_cell_angle_alpha 90.00
_cell_angle_beta 90.00
_cell_angle_gamma 90.00
loop_
_space_group_symop_operation_xyz
'x,y,z'
'-x,-y,-z'
'-x,-y,z'
'x,y,-z'
'x+1/2,-y+1/2,-z+1/2'
'-x+1/2,y+1/2,z+1/2'
'-x+1/2,y+1/2,-z+1/2'
'x+1/2,-y+1/2,z+1/2'
loop_
_atom_site_label
_atom_site_type_symbol
_atom_site_fract_x
_atom_site_fract_y
_atom_site_fract_z
_atom_site_occupancy
Li1 Li 0.015 0.171 0.000 1
Li2 Li 0.153 0.699 0.500 1
Li3 Li 0.177 0.034 0.500 1
Al1 Al 0.000 0.500 0.000 1
Ga1 Ga 0.177 0.368 0.500 1


x.
# Li6AlGa2 PBE-GGA optimized geometry
# Total magnetization   0.000 μB/cell
# DOS(E_F)   1.8 states/eV per cell
data_Li6AlGa2
_space_group_name_H-M_alt 'P 6/m m m'
_space_group_IT_number 191
_space_group_name_Hall '-P 6 2'
_cell_length_a 7.8076
_cell_length_b 7.8076
_cell_length_c 2.6638
_cell_angle_alpha 90.00
_cell_angle_beta 90.00
_cell_angle_gamma 120.00
loop_
_atom_site_label
_atom_site_type_symbol
_atom_site_fract_x
_atom_site_fract_y
_atom_site_fract_z
_atom_site_occupancy
Li1 Li 0.0000 0.3352 0.0000 1
Al1 Al 0.0000 0.0000 0.5000 1
Ga1 Ga 0.3333 0.6667 0.5000 1


x (33 meV per atom below the next structure)


w.
# LiPmAlGa PBE-GGA optimized geometry
# Total magnetization   0.004 μB/cell
# DOS(E_F)   4.3 states/eV per cell
data_LiPmAlGa
_space_group_name_H-M_alt 'C 1 m 1'
_space_group_IT_number 8
_cell_length_a 7.667
_cell_length_b 4.432
_cell_length_c 6.357
_cell_angle_alpha 90.00
_cell_angle_beta 113.50
_cell_angle_gamma 90.00
loop_
_space_group_symop_operation_xyz
'x,y,z'
'x,-y,z'
'x+1/2,y+1/2,z'
'x+1/2,-y+1/2,z'
loop_
_atom_site_label
_atom_site_type_symbol
_atom_site_fract_x
_atom_site_fract_y
_atom_site_fract_z
_atom_site_occupancy
Li1 Li 0.000 0.000 0.000 1
Pm1 Pm 0.453 0.000 0.359 1
Al1 Al 0.249 0.000 0.747 1
Ga1 Ga 0.360 0.500 0.581 1


x.
# LiPmAlGa PBE-GGA optimized geometry
# Total magnetization   0.000 μB/cell
# DOS(E_F)   7.2 states/eV per cell
data_LiPmAlGa
_space_group_name_H-M_alt 'F -4 3 m'
_space_group_IT_number 216
_space_group_name_Hall 'F -4 2 3'
_cell_length_a 6.974
_cell_length_b 6.974
_cell_length_c 6.974
_cell_angle_alpha 90.00
_cell_angle_beta 90.00
_cell_angle_gamma 90.00
loop_
_atom_site_label
_atom_site_type_symbol
_atom_site_fract_x
_atom_site_fract_y
_atom_site_fract_z
_atom_site_occupancy
Li1 Li 0.000 0.000 0.000 1
Pm1 Pm 0.000 0.000 0.500 1
Al1 Al 0.250 0.250 0.250 1
Ga1 Ga 0.250 0.250 0.750 1


x (242 meV per atom below the next structure)


w.
# LiAlGa2Re PBE-GGA optimized geometry
# Total magnetization   0.668 μB/cell
# DOS(E_F)   3.1 states/eV per cell
data_LiAlGa2Re
_space_group_name_H-M_alt 'P 4/m m m'
_space_group_IT_number 123
_space_group_name_Hall '-P 4 2'
_cell_length_a 4.202
_cell_length_b 4.202
_cell_length_c 4.438
_cell_angle_alpha 90.00
_cell_angle_beta 90.00
_cell_angle_gamma 90.00
loop_
_atom_site_label
_atom_site_type_symbol
_atom_site_fract_x
_atom_site_fract_y
_atom_site_fract_z
_atom_site_occupancy
Li1 Li 0.000 0.000 0.000 1
Al1 Al 0.500 0.500 0.500 1
Ga1 Ga 0.000 0.500 0.000 1
Re1 Re 0.000 0.000 0.500 1


x.
# LiAlGa2Re PBE-GGA optimized geometry
# Total magnetization   0.000 μB/cell
# DOS(E_F)   4.6 states/eV per cell
data_LiAlGa2Re
_space_group_name_H-M_alt 'P 4/m m m'
_space_group_IT_number 123
_space_group_name_Hall '-P 4 2'
_cell_length_a 4.830
_cell_length_b 4.830
_cell_length_c 4.894
_cell_angle_alpha 90.00
_cell_angle_beta 90.00
_cell_angle_gamma 90.00
loop_
_atom_site_label
_atom_site_type_symbol
_atom_site_fract_x
_atom_site_fract_y
_atom_site_fract_z
_atom_site_occupancy
Li1 Li 0.000 0.000 0.000 1
Al1 Al 0.500 0.500 0.000 1
Ga1 Ga 0.000 0.500 0.500 1
Re1 Re 0.000 0.000 0.500 1


x (98 meV per atom below the next structure)


w.
# LiScAlGa PBE-GGA optimized geometry
# Total magnetization   0.000 μB/cell
# DOS(E_F)   3.8 states/eV per cell
data_LiScAlGa
_space_group_name_H-M_alt 'F -4 3 m'
_space_group_IT_number 216
_space_group_name_Hall 'F -4 2 3'
_cell_length_a 6.557
_cell_length_b 6.557
_cell_length_c 6.557
_cell_angle_alpha 90.00
_cell_angle_beta 90.00
_cell_angle_gamma 90.00
loop_
_atom_site_label
_atom_site_type_symbol
_atom_site_fract_x
_atom_site_fract_y
_atom_site_fract_z
_atom_site_occupancy
Li1 Li 0.000 0.000 0.000 1
Sc1 Sc 0.000 0.000 0.500 1
Al1 Al 0.250 0.250 0.250 1
Ga1 Ga 0.250 0.250 0.750 1


x.
# LiScAlGa PBE-GGA optimized geometry
# Total magnetization   0.000 μB/cell
# DOS(E_F)   0.9 states/eV per cell
data_LiScAlGa
_space_group_name_H-M_alt 'P m m m'
_space_group_IT_number 47
_cell_length_a 3.541
_cell_length_b 4.442
_cell_length_c 4.496
_cell_angle_alpha 90.00
_cell_angle_beta 90.00
_cell_angle_gamma 90.00
loop_
_space_group_symop_operation_xyz
'x,y,z'
'-x,-y,-z'
'-x,-y,z'
'x,y,-z'
'x,-y,-z'
'-x,y,z'
'-x,y,-z'
'x,-y,z'
loop_
_atom_site_label
_atom_site_type_symbol
_atom_site_fract_x
_atom_site_fract_y
_atom_site_fract_z
_atom_site_occupancy
Li1 Li 0.000 0.000 0.000 1
Sc1 Sc 0.000 0.500 0.500 1
Al1 Al 0.500 0.500 0.000 1
Ga1 Ga 0.500 0.000 0.500 1


x (43 meV per atom below the next structure)